No. 1
Below is crystalline KMnCr2 at its relaxed geometry, with properties calculated at the PBE level.

Summary:
energy relative to the elements = 839 meV per atom
excess energy over the best structure of this formula in the dataset = 1.70 kcal/mol of atoms
DFT total energy = -26.16 eV for the cell shown

a = 2.730 Å, b = 3.616 Å, c = 7.588 Å
α = 90.00°, β = 90.32°, γ = 90.00°
Space group P2/m (No. 10)
One atom of each set of equivalent atoms:
K 0.000 0.000 0.000 [1 per cell]
Mn 0.500 0.000 0.500 [1 per cell]
Cr 0.079 0.500 0.370 [2 per cell]

No. 2
Below is crystalline In4FeRu at its relaxed geometry, with properties calculated at the PBE level.

Summary:
energy relative to the elements = 899 meV per atom
DFT total energy = -93.20 eV for the cell shown

a = 7.989 Å, b = 7.989 Å, c = 7.989 Å
α = 90.00°, β = 90.00°, γ = 90.00°
Space group F-43m (No. 216)
One atom of each set of equivalent atoms:
In 0.125 0.125 0.125 [16 per cell]
Fe 0.000 0.000 0.500 [4 per cell]
Ru 0.250 0.250 0.750 [4 per cell]

No. 3
Below is crystalline AlInTe2 at its relaxed geometry, with properties calculated at the PBE level.

Summary:
formation energy from raw total energies = 21 meV per atom
DFT total energy = -12.68 eV for the cell shown

a = 3.736 Å, b = 3.736 Å, c = 7.579 Å
α = 90.00°, β = 90.00°, γ = 90.00°
Space group P4/mmm (No. 123)
One atom of each set of equivalent atoms:
Al 0.000 0.000 0.000 [1 per cell]
In 0.000 0.000 0.500 [1 per cell]
Te 0.500 0.500 0.222 [2 per cell]

No. 4
Below is crystalline CaErGaHg at its relaxed geometry, with properties calculated at the PBE level.

Summary:
energy relative to the elements = -506 meV per atom
excess energy over the best structure of this formula in the dataset = 0.32 kcal/mol of atoms
DFT total energy = -47.67 eV for the cell shown

a = 7.342 Å, b = 7.342 Å, c = 7.342 Å
α = 90.00°, β = 90.00°, γ = 90.00°
Space group F-43m (No. 216)
One atom of each set of equivalent atoms:
Ca 0.000 0.000 0.000 [4 per cell]
Er 0.000 0.000 0.500 [4 per cell]
Ga 0.250 0.250 0.250 [4 per cell]
Hg 0.250 0.250 0.750 [4 per cell]

No. 5
Below is crystalline Li2TaSnH at its relaxed geometry, with properties calculated at the PBE level.

Summary:
DFT total energy = -23.46 eV for the cell shown

a = 4.056 Å, b = 4.056 Å, c = 4.158 Å
α = 90.00°, β = 90.00°, γ = 90.00°
Space group P4/mmm (No. 123)
One atom of each set of equivalent atoms:
Li 0.000 0.500 0.000 [2 per cell]
Ta 0.000 0.000 0.500 [1 per cell]
Sn 0.500 0.500 0.500 [1 per cell]
H 0.000 0.000 0.000 [1 per cell]

No. 6
Below is crystalline Si2P at its relaxed geometry, with properties calculated at the PBE level.

Summary:
formation energy from raw total energies = 517 meV per atom
excess energy over the best structure of this formula in the dataset = 11.85 kcal/mol of atoms
DFT total energy = -29.41 eV for the cell shown

a = 4.4428 Å, b = 4.4428 Å, c = 5.0594 Å
α = 90.00°, β = 90.00°, γ = 120.00°
Space group P6_3/mmc (No. 194)
One atom of each set of equivalent atoms:
Si 0.0000 0.0000 0.0000 [2 per cell]
Si 0.3333 0.6667 0.2500 [2 per cell]
P 0.3333 0.6667 0.7500 [2 per cell]

No. 7
Below is crystalline PmZn2Pb at its relaxed geometry, with properties calculated at the PBE level.

Summary:
energy relative to the elements = -283 meV per atom
DFT total energy = -12.14 eV for the cell shown

a = 4.502 Å, b = 4.502 Å, c = 4.540 Å
α = 90.00°, β = 90.00°, γ = 90.00°
Space group P4/mmm (No. 123)
One atom of each set of equivalent atoms:
Pm 0.000 0.000 0.000 [1 per cell]
Zn 0.000 0.500 0.500 [2 per cell]
Pb 0.500 0.500 0.000 [1 per cell]

No. 8
Below is crystalline Co5P at its relaxed geometry, with properties calculated at the PBE level.

Summary:
energy relative to the elements = 363 meV per atom
excess energy over the best structure of this formula in the dataset = 10.62 kcal/mol of atoms
DFT total energy = -155.06 eV for the cell shown

a = 6.589 Å, b = 6.589 Å, c = 6.589 Å
α = 90.00°, β = 90.00°, γ = 90.00°
Space group F-43m (No. 216)
One atom of each set of equivalent atoms:
Co 0.000 0.000 0.000 [4 per cell]
Co 0.125 0.125 0.625 [16 per cell]
P 0.250 0.250 0.250 [4 per cell]